An optimized crystal structure of MgFeCo3. Source: Alexandria, functional PBEsol.

Cell lengths 4.1738, 4.1738, 4.1738 Å; angles 90.00, 90.00, 90.00 degrees
With the nearest neighbours (Å) after each atom.
Atoms (fractional coordinates):
Fe1 0.5000 0.5000 0.5000  12 Co 2.95
Mg1 0.0000 0.0000 0.0000  6 Co 2.09
Co1 0.0000 0.5000 0.0000  2 Mg 2.09
Co2 0.5000 0.0000 0.0000  2 Mg 2.09
Co3 0.0000 0.0000 0.5000  2 Mg 2.09

Computed properties:
- symmetry = Pm-3m, No. 221
- calculated total energy (Ry per atom) = -0.3711
- energy of formation (kJ/mol of atoms) = 166.8
- DOS(E_F) (states/eV/atom) = 1.416